(1)
{
  "formula": "NbI4",
  "functional": "PBE-GGA",
  "state": "optimized geometry",
  "cell": [[3.892, -7.063, 0.000], [3.892, 7.063, 0.000], [0.000, 0.000, 15.042]],
  "species": ["Nb", "Nb", "Nb", "Nb", "I", "I", "I", "I", "I", "I", "I", "I", "I", "I", "I", "I", "I", "I", "I", "I"],
  "fractional_positions": [[0.089, 0.337, 0.000], [0.337, 0.089, 0.500], [0.663, 0.911, 0.000], [0.911, 0.663, 0.500], [0.007, 0.993, 0.917], [0.012, 0.474, 0.850], [0.228, 0.261, 0.150], [0.255, 0.745, 0.583], [0.261, 0.228, 0.650], [0.264, 0.736, 0.071], [0.474, 0.012, 0.350], [0.488, 0.512, 0.929], [0.512, 0.488, 0.429], [0.526, 0.988, 0.850], [0.736, 0.264, 0.571], [0.739, 0.772, 0.150], [0.745, 0.255, 0.083], [0.772, 0.739, 0.650], [0.988, 0.526, 0.350], [0.993, 0.007, 0.417]],
  "sg": "Cmc2_1 (36)"
}

=====

(2)
{
  "formula": "Nb6I11",
  "functional": "PBE-GGA",
  "state": "optimized geometry",
  "cell": [[11.773, 0.000, 0.000], [0.000, 16.170, 0.000], [0.000, 0.000, 13.660]],
  "species": ["Nb", "Nb", "Nb", "Nb", "Nb", "Nb", "Nb", "Nb", "Nb", "Nb", "Nb", "Nb", "Nb", "Nb", "Nb", "Nb", "Nb", "Nb", "Nb", "Nb", "Nb", "Nb", "Nb", "Nb", "I", "I", "I", "I", "I", "I", "I", "I", "I", "I", "I", "I", "I", "I", "I", "I", "I", "I", "I", "I", "I", "I", "I", "I", "I", "I", "I", "I", "I", "I", "I", "I", "I", "I", "I", "I", "I", "I", "I", "I", "I", "I", "I", "I"],
  "fractional_positions": [[0.081, 0.050, 0.115], [0.081, 0.450, 0.615], [0.096, 0.603, 0.515], [0.096, 0.897, 0.015], [0.118, 0.048, 0.910], [0.118, 0.452, 0.410], [0.382, 0.048, 0.410], [0.382, 0.452, 0.910], [0.404, 0.603, 0.015], [0.404, 0.897, 0.515], [0.419, 0.050, 0.615], [0.419, 0.450, 0.115], [0.581, 0.550, 0.885], [0.581, 0.950, 0.385], [0.596, 0.103, 0.485], [0.596, 0.397, 0.985], [0.618, 0.548, 0.090], [0.618, 0.952, 0.590], [0.882, 0.548, 0.590], [0.882, 0.952, 0.090], [0.904, 0.103, 0.985], [0.904, 0.397, 0.485], [0.919, 0.550, 0.385], [0.919, 0.950, 0.885], [0.054, 0.603, 0.725], [0.054, 0.897, 0.225], [0.100, 0.206, 0.011], [0.100, 0.294, 0.511], [0.131, 0.609, 0.305], [0.131, 0.891, 0.805], [0.200, 0.503, 0.039], [0.200, 0.997, 0.539], [0.203, 0.124, 0.284], [0.203, 0.376, 0.784], [0.250, 0.750, 0.046], [0.250, 0.750, 0.546], [0.297, 0.124, 0.784], [0.297, 0.376, 0.284], [0.300, 0.503, 0.539], [0.300, 0.997, 0.039], [0.369, 0.609, 0.805], [0.369, 0.891, 0.305], [0.400, 0.206, 0.511], [0.400, 0.294, 0.011], [0.446, 0.603, 0.225], [0.446, 0.897, 0.725], [0.554, 0.103, 0.275], [0.554, 0.397, 0.775], [0.600, 0.706, 0.989], [0.600, 0.794, 0.489], [0.631, 0.109, 0.695], [0.631, 0.391, 0.195], [0.700, 0.003, 0.961], [0.700, 0.497, 0.461], [0.703, 0.624, 0.716], [0.703, 0.876, 0.216], [0.750, 0.250, 0.454], [0.750, 0.250, 0.954], [0.797, 0.624, 0.216], [0.797, 0.876, 0.716], [0.800, 0.003, 0.461], [0.800, 0.497, 0.961], [0.869, 0.109, 0.195], [0.869, 0.391, 0.695], [0.900, 0.706, 0.489], [0.900, 0.794, 0.989], [0.946, 0.103, 0.775], [0.946, 0.397, 0.275]],
  "sg": "Pccn (56)",
  "dos_ef_per_ev_atom": 0.003
}

=====

(3)
{
  "formula": "NbI6",
  "functional": "PBE-GGA",
  "state": "optimized geometry",
  "cell": [[13.780, 0.000, 0.000], [0.000, 12.555, 0.000], [0.000, 0.000, 8.418]],
  "species": ["Nb", "Nb", "Nb", "Nb", "I", "I", "I", "I", "I", "I", "I", "I", "I", "I", "I", "I", "I", "I", "I", "I", "I", "I", "I", "I", "I", "I", "I", "I"],
  "fractional_positions": [[0.150, 0.250, 0.098], [0.350, 0.750, 0.598], [0.650, 0.250, 0.402], [0.850, 0.750, 0.902], [0.013, 0.622, 0.032], [0.013, 0.878, 0.032], [0.048, 0.250, 0.374], [0.219, 0.250, 0.792], [0.245, 0.580, 0.676], [0.245, 0.920, 0.676], [0.255, 0.080, 0.176], [0.255, 0.420, 0.176], [0.281, 0.750, 0.292], [0.452, 0.750, 0.874], [0.487, 0.122, 0.532], [0.487, 0.378, 0.532], [0.513, 0.622, 0.468], [0.513, 0.878, 0.468], [0.548, 0.250, 0.126], [0.719, 0.250, 0.708], [0.745, 0.580, 0.824], [0.745, 0.920, 0.824], [0.755, 0.080, 0.324], [0.755, 0.420, 0.324], [0.781, 0.750, 0.208], [0.952, 0.750, 0.626], [0.987, 0.122, 0.968], [0.987, 0.378, 0.968]],
  "sg": "Pnma (62)"
}

=====

(4)
{
  "formula": "NdNbI",
  "functional": "PBE-GGA",
  "state": "optimized geometry",
  "cell": [[3.874, 0.000, 0.000], [0.000, 4.576, 0.000], [-1.920, 0.000, 10.413]],
  "species": ["Nd", "Nd", "Nb", "Nb", "I", "I"],
  "fractional_positions": [[0.100, 0.250, 0.202], [0.900, 0.750, 0.798], [0.477, 0.250, 0.953], [0.523, 0.750, 0.047], [0.327, 0.250, 0.650], [0.673, 0.750, 0.350]],
  "sg": "P2_1/m (11)",
  "dos_ef_per_ev_atom": 0.461
}

=====

(5)
{
  "formula": "Nb3NiI",
  "functional": "PBE-GGA",
  "state": "optimized geometry",
  "cell": [[4.722, 0.000, 0.000], [0.000, 4.722, 0.000], [0.000, 0.000, 4.722]],
  "species": ["Nb", "Nb", "Nb", "Ni", "I"],
  "fractional_positions": [[0.000, 0.000, 0.500], [0.000, 0.500, 0.000], [0.500, 0.000, 0.000], [0.000, 0.000, 0.000], [0.500, 0.500, 0.500]],
  "de_polymorph_ev_per_fu": 0.00,
  "sg": "Pm-3m (221)",
  "dos_ef_per_ev_atom": 0.522
}

=====

(6)
{
  "formula": "Nb3NiI",
  "functional": "PBE-GGA",
  "state": "optimized geometry",
  "cell": [[4.994, 0.000, 0.000], [0.000, 4.994, 0.000], [0.000, 0.000, 4.994]],
  "species": ["Nb", "Nb", "Nb", "Ni", "I"],
  "fractional_positions": [[0.000, 0.000, 0.500], [0.000, 0.500, 0.000], [0.500, 0.000, 0.000], [0.500, 0.500, 0.500], [0.000, 0.000, 0.000]],
  "de_polymorph_ev_per_fu": 5.42,
  "sg": "Pm-3m (221)",
  "dos_ef_per_ev_atom": 1.814
}

=====

(7)
{
  "formula": "NbNiI2",
  "functional": "PBE-GGA",
  "state": "optimized geometry",
  "cell": [[0.000, 3.452, 3.452], [3.452, 0.000, 3.452], [3.452, 3.452, 0.000]],
  "species": ["Nb", "Ni", "I", "I"],
  "fractional_positions": [[0.000, 0.000, 0.000], [0.500, 0.500, 0.500], [0.250, 0.250, 0.250], [0.750, 0.750, 0.750]],
  "de_polymorph_ev_per_fu": 0.40,
  "sg": "Fm-3m (225)",
  "dos_ef_per_ev_atom": 0.900
}

=====

(8)
{
  "formula": "NbNi2I2",
  "functional": "PBE-GGA",
  "state": "optimized geometry",
  "cell": [[7.402, 0.000, 0.000], [0.000, 7.402, 0.000], [0.000, 0.000, 3.451]],
  "species": ["Nb", "Nb", "Ni", "Ni", "Ni", "Ni", "I", "I", "I", "I"],
  "fractional_positions": [[0.000, 0.000, 0.000], [0.500, 0.500, 0.000], [0.140, 0.360, 0.500], [0.360, 0.860, 0.500], [0.640, 0.140, 0.500], [0.860, 0.640, 0.500], [0.167, 0.667, 0.000], [0.333, 0.167, 0.000], [0.667, 0.833, 0.000], [0.833, 0.333, 0.000]],
  "de_polymorph_ev_per_fu": 0.57,
  "sg": "P4/mbm (127)",
  "dos_ef_per_ev_atom": 1.105
}

=====

(9)
{
  "formula": "NbNi2I",
  "functional": "PBE-GGA",
  "state": "optimized geometry",
  "cell": [[-3.519, 3.519, 2.724], [3.519, -3.519, 2.724], [3.519, 3.519, -2.724]],
  "species": ["Nb", "Nb", "Ni", "Ni", "Ni", "Ni", "I", "I"],
  "fractional_positions": [[0.000, 0.000, 0.000], [0.750, 0.250, 0.500], [0.129, 0.625, 0.004], [0.375, 0.379, 0.504], [0.621, 0.125, 0.996], [0.875, 0.871, 0.496], [0.250, 0.750, 0.500], [0.500, 0.500, 0.000]],
  "de_polymorph_ev_per_fu": 0.00,
  "sg": "I-42d (122)",
  "dos_ef_per_ev_atom": 0.116
}

=====

(10)
{
  "formula": "NbNiI2",
  "functional": "PBE-GGA",
  "state": "optimized geometry",
  "cell": [[-3.145, 3.145, 5.715], [3.145, -3.145, 5.715], [3.145, 3.145, -5.715]],
  "species": ["Nb", "Nb", "Ni", "Ni", "I", "I", "I", "I"],
  "fractional_positions": [[0.000, 0.000, 0.000], [0.750, 0.250, 0.500], [0.250, 0.750, 0.500], [0.500, 0.500, 0.000], [0.165, 0.625, 0.040], [0.375, 0.415, 0.540], [0.585, 0.125, 0.960], [0.875, 0.835, 0.460]],
  "de_polymorph_ev_per_fu": 0.00,
  "sg": "I-42d (122)",
  "dos_ef_per_ev_atom": 0.835
}

=====

(11)
{
  "formula": "Nb2NiI4",
  "functional": "PBE-GGA",
  "state": "optimized geometry",
  "cell": [[-2.910, 2.910, 6.597], [2.910, -2.910, 6.597], [2.910, 2.910, -6.597]],
  "species": ["Nb", "Nb", "Ni", "I", "I", "I", "I"],
  "fractional_positions": [[0.081, 0.081, 0.000], [0.919, 0.919, 0.000], [0.500, 0.500, 0.000], [0.000, 0.500, 0.500], [0.301, 0.301, 0.000], [0.500, 0.000, 0.500], [0.699, 0.699, 0.000]],
  "sg": "I4/mmm (139)",
  "dos_ef_per_ev_atom": 0.802
}

=====

(12)
{
  "formula": "NbNiI2",
  "functional": "PBE-GGA",
  "state": "optimized geometry",
  "cell": [[1.836, 1.060, 8.619], [-1.836, 1.060, 8.619], [0.000, -2.120, 8.619]],
  "species": ["Nb", "Ni", "I", "I"],
  "fractional_positions": [[0.000, 0.000, 0.000], [0.500, 0.500, 0.500], [0.105, 0.105, 0.105], [0.895, 0.895, 0.895]],
  "de_polymorph_ev_per_fu": 0.46,
  "sg": "R-3m (166)",
  "dos_ef_per_ev_atom": 1.104
}

=====

(13)
{
  "formula": "NbNi2I",
  "functional": "PBE-GGA",
  "state": "optimized geometry",
  "cell": [[0.000, 3.200, 3.200], [3.200, 0.000, 3.200], [3.200, 3.200, 0.000]],
  "species": ["Nb", "Ni", "Ni", "I"],
  "fractional_positions": [[0.000, 0.000, 0.000], [0.250, 0.250, 0.250], [0.750, 0.750, 0.750], [0.500, 0.500, 0.500]],
  "de_polymorph_ev_per_fu": 0.85,
  "sg": "Fm-3m (225)",
  "dos_ef_per_ev_atom": 0.927
}

=====

(14)
{
  "formula": "NbNi2I2",
  "functional": "PBE-GGA",
  "state": "optimized geometry",
  "cell": [[-1.715, 1.715, 8.015], [1.715, -1.715, 8.015], [1.715, 1.715, -8.015]],
  "species": ["Nb", "Ni", "Ni", "I", "I"],
  "fractional_positions": [[0.000, 0.000, 0.000], [0.250, 0.750, 0.500], [0.750, 0.250, 0.500], [0.389, 0.389, 0.000], [0.611, 0.611, 0.000]],
  "de_polymorph_ev_per_fu": 0.00,
  "sg": "I4/mmm (139)",
  "dos_ef_per_ev_atom": 1.026
}

=====

| no. | ΔE_f (raw) (meV/atom) | total magnetization (Bohr magnetons per cell) | total DFT energy (no corrections) (eV per atom) |
| --- | --- | --- | --- |
| 1 | -448 | 0.000 | -3.702 |
| 2 | -463 | 20.650 | -5.020 |
| 3 | -344 | 0.000 | -3.112 |
| 4 | -362 | 0.000 | -5.824 |
| 5 | 943 | 0.000 | -6.565 |
| 6 | 2028 | 3.322 | -5.480 |
| 7 | 658 | 0.000 | -4.080 |
| 8 | 714 | 0.710 | -4.233 |
| 9 | 484 | 0.000 | -5.312 |
| 10 | 558 | 5.452 | -4.180 |
| 11 | 468 | 0.452 | -4.121 |
| 12 | 672 | 0.734 | -4.066 |
| 13 | 697 | 0.000 | -5.099 |
| 14 | 600 | 0.000 | -4.346 |